# BaCa2Y

A geometry-optimized BaCa2Y structure (GGA-PBE, Alexandria via LeMat-Bulk).

Lattice parameters (Å, degrees): 4.3039 6.2510 6.2510 90.00 90.00 90.00
Fractional coordinates of all 4 atoms:
Ca: 0.0000 0.0000 0.0000
Ba: 0.5000 0.0000 0.5000
Y: 0.5000 0.5000 0.0000
Ca: 0.0000 0.5000 0.5000

Values from the calculation:
Size of the total moment (Bohr magnetons per cell): 0.00
Energy of formation (meV/atom): 160
Offset from the most stable computed form (meV/atom): 55

***

# BaCaY2

A geometry-optimized BaCaY2 structure (GGA-PBE, Alexandria via LeMat-Bulk).

Lattice parameters (Å, degrees): 9.4497 9.4497 7.5584 51.31 51.31 90.00
Fractional coordinates of all 8 atoms:
Y: 0.3750 0.3780 0.7500
Ba: 0.7500 0.2500 0.5000
Ba: 0.0000 0.0000 0.0000
Ca: 0.5000 0.5000 0.0000
Y: 0.1280 0.6250 0.2500
Ca: 0.2500 0.7500 0.5000
Y: 0.8750 0.8720 0.7500
Y: 0.6220 0.1250 0.2500

Values from the calculation:
Size of the total moment (Bohr magnetons per cell): 1.87
Energy of formation (meV/atom): 518
Offset from the most stable computed form (meV/atom): 400